# 1
Compound: TlNiPtCl6
Source: Alexandria
Functional: PBE
Structure: optimized geometry

Values from the calculation:
SG = C2
DOS(E_F) = 0.025 states/eV per cell
Formation energy (no corrections) = -566 meV per atom
Size of the total moment = 3.0 Bohr magnetons per cell
Crystal system = monoclinic

Cell lengths 6.2720, 6.4691, 7.2159 Å; angles 91.52, 90.79, 58.96 degrees
Closest atoms and distances in Å follow each position.
Atoms (fractional coordinates):
Tl (0.9920, 0.0039, 0.0000)  6 Cl 3.12-3.32
Ni (0.3457, 0.3272, 0.5000)  6 Cl 2.34-2.47
Pt (0.6727, 0.6636, 0.5000)  4 Cl 2.35-2.36
Cl (0.9988, 0.3681, 0.3155)  1 Pt 2.35, 1 Ni 2.43
Cl (0.3691, 0.9949, 0.6767)  1 Pt 2.36, 1 Ni 2.47
Cl (0.6269, 0.3522, 0.7029)  1 Ni 2.34
Cl (0.9989, 0.6331, 0.6844)  1 Pt 2.35, 1 Ni 2.43
Cl (0.3690, 0.6361, 0.3233)  1 Pt 2.36, 1 Ni 2.47
Cl (0.6267, 0.0210, 0.2970)  1 Ni 2.34

---

# 2
Compound: BeReTe
Source: Alexandria
Functional: PBE
Structure: optimized geometry

Values from the calculation:
SG = P3m1
ΔE to the lowest computed polymorph = 507 meV/atom
DOS(E_F) = 2.802 states/eV per cell
Formation energy (no corrections) = 984 meV per atom
Size of the total moment = 0.0 Bohr magnetons per cell
Crystal system = trigonal

Cell lengths 4.6796, 4.6796, 2.7429 Å; angles 90.00, 90.00, 120.00 degrees
Closest atoms and distances in Å follow each position.
Atoms (fractional coordinates):
Re (0.6667, 0.3333, 0.3314)  3 Te 2.70, 3 Be 2.70, 2 Re 2.74
Te (0.3333, 0.6667, 0.3318)  3 Re 2.70, 3 Be 2.70, 2 Te 2.74
Be (0.0000, 0.0000, 0.3368)  3 Te 2.70, 3 Re 2.70, 2 Be 2.74

---

# 3
Compound: Dy3Y5Th3
Source: Alexandria
Functional: PBE
Structure: optimized geometry

Values from the calculation:
SG = P-62m
ΔE to the lowest computed polymorph = 11 meV/atom
DOS(E_F) = 16.420 states/eV per cell
Size of the total moment = 0.0 Bohr magnetons per cell
Crystal system = hexagonal
ΔE_f = 0.39 eV/atom

Cell lengths 3.4278, 11.2139, 11.2139 Å; angles 120.00, 90.00, 90.00 degrees
Closest atoms and distances in Å follow each position.
Atoms (fractional coordinates):
Dy (0.0000, 0.4096, 0.4096)  2 Y 3.26, 2 Th 3.30, 2 Dy 3.43
Dy (0.0000, 0.5904, 0.0000)  2 Y 3.26, 2 Th 3.30, 2 Dy 3.43
Dy (0.0000, 0.0000, 0.5904)  2 Y 3.26, 2 Th 3.30, 2 Dy 3.43
Y (0.5000, 0.3333, 0.6667)  2 Y 3.43, 3 Th 3.71, 6 Dy 3.80
Y (0.5000, 0.6667, 0.3333)  2 Y 3.43, 3 Th 3.71, 6 Dy 3.80
Y (0.5000, 0.1623, 0.1623)  4 Y 3.15-3.43, 2 Dy 3.26, 2 Th 3.29
Y (0.5000, 0.0000, 0.8377)  4 Y 3.15-3.43, 2 Dy 3.26, 2 Th 3.29
Y (0.5000, 0.8377, 0.0000)  4 Y 3.15-3.43, 2 Dy 3.26, 2 Th 3.29
Th (0.5000, 0.6611, 0.6611)  2 Y 3.29, 2 Dy 3.30, 2 Th 3.43
Th (0.5000, 0.0000, 0.3389)  2 Y 3.29, 2 Dy 3.30, 2 Th 3.43
Th (0.5000, 0.3389, 0.0000)  2 Y 3.29, 2 Dy 3.30, 2 Th 3.43

---

# 4
Compound: Sc8NiRh2
Source: Alexandria
Functional: PBE
Structure: optimized geometry

Values from the calculation:
SG = Cm
DOS(E_F) = 14.683 states/eV per cell
Size of the total moment = 0.0 Bohr magnetons per cell
Crystal system = monoclinic
ΔE_f = -0.36 eV/atom

Cell lengths 5.3822, 7.2044, 7.2044 Å; angles 115.23, 101.31, 101.31 degrees
Closest atoms and distances in Å follow each position.
Atoms (fractional coordinates):
Sc (0.5850, 0.3424, 0.0917)  2 Rh 2.60-2.67, 1 Ni 2.82
Sc (0.5850, 0.0917, 0.3424)  2 Rh 2.60-2.67, 1 Ni 2.82
Sc (0.1733, 0.3625, 0.3625)  1 Ni 2.72, 2 Rh 2.89
Sc (0.9868, 0.2024, 0.7926)  1 Ni 2.62
Sc (0.9868, 0.7926, 0.2024)  1 Ni 2.62
Sc (0.8034, 0.6426, 0.6426)  1 Ni 2.70, 2 Rh 2.82
Sc (0.3717, 0.9154, 0.6616)  2 Rh 2.60-2.72, 1 Ni 2.86
Sc (0.3717, 0.6616, 0.9154)  2 Rh 2.60-2.72, 1 Ni 2.86
Ni (0.1376, 0.0017, 0.0017)  8 Sc 2.62-2.86
Rh (0.4991, 0.7025, 0.3185)  6 Sc 2.60-2.89
Rh (0.4991, 0.3185, 0.7025)  6 Sc 2.60-2.89

---

# 5
Compound: MoP3Se
Source: Alexandria
Functional: PBE
Structure: optimized geometry

Values from the calculation:
SG = Pm-3m
ΔE to the lowest computed polymorph = 0 meV/atom
DOS(E_F) = 2.617 states/eV per cell
Formation energy (no corrections) = 556 meV per atom
Size of the total moment = 0.0 Bohr magnetons per cell
Crystal system = cubic

Cell lengths 4.6825, 4.6825, 4.6825 Å; angles 90.00, 90.00, 90.00 degrees
Closest atoms and distances in Å follow each position.
Atoms (fractional coordinates):
P (0.0000, 0.5000, 0.0000)  2 Mo 2.34
P (0.0000, 0.0000, 0.5000)  2 Mo 2.34
P (0.5000, 0.0000, 0.0000)  2 Mo 2.34
Mo (0.0000, 0.0000, 0.0000)  6 P 2.34
Se (0.5000, 0.5000, 0.5000)  12 P 3.31

---

# 6
Compound: CaZrBi
Source: Alexandria
Functional: PBE
Structure: optimized geometry

Values from the calculation:
SG = Amm2
ΔE to the lowest computed polymorph = 237 meV/atom
DOS(E_F) = 7.255 states/eV per cell
Size of the total moment = 0.0 Bohr magnetons per cell
Crystal system = orthorhombic
ΔE_f = -0.34 eV/atom

Cell lengths 3.3705, 17.0141, 5.8050 Å; angles 90.00, 90.00, 90.00 degrees
Closest atoms and distances in Å follow each position.
Atoms (fractional coordinates):
Ca (0.5000, 0.1757, 0.5423)  2 Ca 3.37, 6 Bi 3.39-3.49, 3 Zr 3.42-3.56
Ca (0.5000, 0.8243, 0.5423)  2 Ca 3.37, 6 Bi 3.39-3.49, 3 Zr 3.42-3.56
Ca (0.5000, 0.6757, 0.0423)  2 Ca 3.37, 6 Bi 3.39-3.49, 3 Zr 3.42-3.56
Ca (0.5000, 0.3243, 0.0423)  2 Ca 3.37, 6 Bi 3.39-3.49, 3 Zr 3.42-3.56
Bi (0.0000, 0.3550, 0.5436)  3 Zr 3.14-3.24, 2 Bi 3.37, 6 Ca 3.39-3.49
Bi (0.0000, 0.6450, 0.5436)  3 Zr 3.14-3.24, 2 Bi 3.37, 6 Ca 3.39-3.49
Bi (0.0000, 0.8550, 0.0436)  3 Zr 3.14-3.24, 2 Bi 3.37, 6 Ca 3.39-3.49
Bi (0.0000, 0.1450, 0.0436)  3 Zr 3.14-3.24, 2 Bi 3.37, 6 Ca 3.39-3.49
Zr (0.5000, 0.0000, 0.8286)  4 Zr 3.12-3.37, 4 Bi 3.24, 2 Ca 3.42
Zr (0.5000, 0.5000, 0.3286)  4 Zr 3.12-3.37, 4 Bi 3.24, 2 Ca 3.42
Zr (0.0000, 0.0000, 0.3772)  4 Zr 3.12-3.37, 2 Bi 3.14
Zr (0.0000, 0.5000, 0.8772)  4 Zr 3.12-3.37, 2 Bi 3.14